No. 1
Density functional theory data (SCAN) for a crystal of BeI2O relaxed with PBEsol.

Unit cell a=6.528 b=6.384 c=6.528 alpha=59.25 beta=90.00 gamma=120.75
Last column: magnetic moment on the atom in μB.
Element x y z (fractional)
I  0.588  0.750  0.375  0.16
I  0.162  0.750  0.875  0.16
I  0.875  0.250  0.588  0.16
I  0.375  0.250  0.162  0.16
Be  0.250  0.500  0.250  0.01
Be  0.500  0.000  0.500  0.01
O  0.750  0.500  0.750  1.25
O  0.000  0.000  0.000  1.25

***

No. 2
Density functional theory data (SCAN) for a crystal of BeIO2 relaxed with PBEsol.

ΔE to the lowest computed polymorph: 0.000 eV/atom

Unit cell a=3.197 b=3.197 c=6.768 alpha=76.34 beta=76.34 gamma=60.00
Element x y z (fractional)
I  0.500  0.500  0.500
Be  0.000  0.000  0.000
O  0.926  0.926  0.223
O  0.074  0.074  0.777

***

No. 3
Density functional theory data (SCAN) for a crystal of BeIO2 relaxed with PBEsol.

ΔE to the lowest computed polymorph: 1.098 eV/atom

Unit cell a=4.056 b=4.056 c=4.056 alpha=60.00 beta=60.00 gamma=60.00
Element x y z (fractional)
I  0.500  0.500  0.500
Be  0.000  0.000  0.000
O  0.250  0.250  0.250
O  0.750  0.750  0.750

***

No. 4
Density functional theory data (SCAN) for a crystal of BeI2O2 relaxed with PBEsol.

Unit cell a=4.026 b=4.026 c=5.259 alpha=90.00 beta=90.00 gamma=90.00
Last column: magnetic moment on the atom in μB.
Element x y z (fractional)
I  0.500  0.500  0.500  0.08
I  0.000  0.000  0.500  0.00
Be  0.000  0.000  0.000  -0.03
O  0.000  0.500  0.000  0.70
O  0.500  0.000  0.000  0.70

***

No. 5
Density functional theory data (SCAN) for a crystal of BePbIO2 relaxed with PBEsol.

Unit cell a=4.107 b=4.107 c=4.873 alpha=90.00 beta=90.00 gamma=90.00
Last column: magnetic moment on the atom in μB.
Element x y z (fractional)
Pb  0.500  0.500  0.500  -0.04
I  0.000  0.000  0.500  0.00
O  0.000  0.500  0.000  0.49
O  0.500  0.000  0.000  0.49
Be  0.000  0.000  0.000  -0.03

***

No. 6
Density functional theory data (SCAN) for a crystal of BeRuI2O relaxed with PBEsol.

Unit cell a=3.043 b=5.264 c=5.264 alpha=90.00 beta=90.00 gamma=90.00
Last column: magnetic moment on the atom in μB.
Element x y z (fractional)
I  0.000  0.000  0.500  -0.05
I  0.000  0.500  0.000  -0.05
Ru  0.500  0.500  0.500  1.37
O  0.500  0.000  0.000  0.05
Be  0.000  0.000  0.000  0.00

***

No. 7
Density functional theory data (SCAN) for a crystal of BeSI2O relaxed with PBEsol.

Unit cell a=2.896 b=6.024 c=6.024 alpha=90.00 beta=90.00 gamma=90.00
Element x y z (fractional)
I  0.000  0.000  0.500
I  0.000  0.500  0.000
Be  0.000  0.000  0.000
S  0.500  0.500  0.500
O  0.500  0.000  0.000

***

No. 8
Density functional theory data (SCAN) for a crystal of Be2SIO relaxed with PBEsol.

Unit cell a=3.621 b=4.379 c=4.379 alpha=90.00 beta=90.00 gamma=90.00
Element x y z (fractional)
I  0.500  0.500  0.500
Be  0.000  0.000  0.500
Be  0.000  0.500  0.000
S  0.000  0.000  0.000
O  0.500  0.000  0.000

***

E_form (uncorrected) / eV per formula unit: 0.716; -1.382; 3.011; 0.981; -0.967; -0.011; -1.676; 1.031